## Pr3Fe (PBE)

Data for a geometry-optimized Pr3Fe structure.

Energy of formation from the pure elements ... 1.5 eV per formula unit
Mass density ... 6.63 g cm⁻³

The structure in CIF format:
```
data_Pr3Fe
_cell_length_a 4.930
_cell_length_b 4.930
_cell_length_c 4.930
_cell_angle_alpha 90.00
_cell_angle_beta 90.00
_cell_angle_gamma 90.00
_symmetry_space_group_name_H-M 'P m -3 m'
_symmetry_Int_Tables_number 221
_symmetry_space_group_name_Hall '-P 4 2 3'
loop_
_atom_site_label
_atom_site_type_symbol
_atom_site_fract_x
_atom_site_fract_y
_atom_site_fract_z
_atom_site_occupancy
Pr1 Pr 0.000 0.000 0.500 1
Fe1 Fe 0.500 0.500 0.500 1
```

## Pr3Fe2 (PBE)

Data for a geometry-optimized Pr3Fe2 structure.

Energy of formation from the pure elements ... 1.3 eV per formula unit
Mass density ... 6.72 g cm⁻³

The structure in CIF format:
```
data_Pr3Fe2
_cell_length_a 6.9471
_cell_length_b 6.9471
_cell_length_c 18.9658
_cell_angle_alpha 90.00
_cell_angle_beta 90.00
_cell_angle_gamma 120.00
_symmetry_space_group_name_H-M 'R -3 c'
_symmetry_Int_Tables_number 167
_symmetry_space_group_name_Hall '-R 3 2"c'
loop_
_atom_site_label
_atom_site_type_symbol
_atom_site_fract_x
_atom_site_fract_y
_atom_site_fract_z
_atom_site_occupancy
Pr1 Pr 0.0000 0.3829 0.2500 1
Fe1 Fe 0.0000 0.0000 0.1911 1
```

## PrFePt (PBE)

Data for a geometry-optimized PrFePt structure.

Energy of formation from the pure elements ... -0.4 eV per formula unit
Mass density ... 9.01 g cm⁻³

The structure in CIF format:
```
data_PrFePt
_cell_length_a 6.611
_cell_length_b 6.611
_cell_length_c 6.611
_cell_angle_alpha 90.00
_cell_angle_beta 90.00
_cell_angle_gamma 90.00
_symmetry_space_group_name_H-M 'F -4 3 m'
_symmetry_Int_Tables_number 216
_symmetry_space_group_name_Hall 'F -4 2 3'
loop_
_atom_site_label
_atom_site_type_symbol
_atom_site_fract_x
_atom_site_fract_y
_atom_site_fract_z
_atom_site_occupancy
Pr1 Pr 0.000 0.000 0.000 1
Fe1 Fe 0.000 0.000 0.500 1
Pt1 Pt 0.250 0.250 0.750 1
```

## PrFePt (PBE)

Data for a geometry-optimized PrFePt structure.

Energy of formation from the pure elements ... 1.4 eV per formula unit
Mass density ... 8.65 g cm⁻³

The structure in CIF format:
```
data_PrFePt
_cell_length_a 6.702
_cell_length_b 6.702
_cell_length_c 6.702
_cell_angle_alpha 90.00
_cell_angle_beta 90.00
_cell_angle_gamma 90.00
_symmetry_space_group_name_H-M 'F -4 3 m'
_symmetry_Int_Tables_number 216
_symmetry_space_group_name_Hall 'F -4 2 3'
loop_
_atom_site_label
_atom_site_type_symbol
_atom_site_fract_x
_atom_site_fract_y
_atom_site_fract_z
_atom_site_occupancy
Pr1 Pr 0.000 0.000 0.000 1
Fe1 Fe 0.250 0.250 0.750 1
Pt1 Pt 0.250 0.250 0.250 1
```

## PrPuFe (PBE)

Data for a geometry-optimized PrPuFe structure.

Energy of formation from the pure elements ... 3.1 eV per formula unit
Mass density ... 11.70 g cm⁻³
Polymorph energy (0 for the lowest one) ... 0.00 kcal/mol of atoms

The structure in CIF format:
```
data_PrPuFe
_cell_length_a 6.301
_cell_length_b 6.301
_cell_length_c 6.301
_cell_angle_alpha 90.00
_cell_angle_beta 90.00
_cell_angle_gamma 90.00
_symmetry_space_group_name_H-M 'F -4 3 m'
_symmetry_Int_Tables_number 216
_symmetry_space_group_name_Hall 'F -4 2 3'
loop_
_atom_site_label
_atom_site_type_symbol
_atom_site_fract_x
_atom_site_fract_y
_atom_site_fract_z
_atom_site_occupancy
Pr1 Pr 0.000 0.000 0.000 1
Pu1 Pu 0.250 0.250 0.250 1
Fe1 Fe 0.250 0.250 0.750 1
```

## RbPrFe (PBE)

Data for a geometry-optimized RbPrFe structure.

DFT total energy ... -3.28 eV/atom
Mass density ... 4.48 g cm⁻³

The structure in CIF format:
```
data_RbPrFe
_cell_length_a 7.479
_cell_length_b 7.479
_cell_length_c 7.479
_cell_angle_alpha 90.00
_cell_angle_beta 90.00
_cell_angle_gamma 90.00
_symmetry_space_group_name_H-M 'F -4 3 m'
_symmetry_Int_Tables_number 216
_symmetry_space_group_name_Hall 'F -4 2 3'
loop_
_atom_site_label
_atom_site_type_symbol
_atom_site_fract_x
_atom_site_fract_y
_atom_site_fract_z
_atom_site_occupancy
Rb1 Rb 0.000 0.000 0.000 1
Pr1 Pr 0.250 0.250 0.750 1
Fe1 Fe 0.000 0.000 0.500 1
```

## RbPrFeS3 (PBE)

Data for a geometry-optimized RbPrFeS3 structure.

Mass density ... 4.27 g cm⁻³
Polymorph energy (0 for the lowest one) ... 0.46 kcal/mol of atoms

The structure in CIF format:
```
data_RbPrFeS3
_cell_length_a 11.233
_cell_length_b 4.246
_cell_length_c 12.352
_cell_angle_alpha 90.00
_cell_angle_beta 90.00
_cell_angle_gamma 90.00
_symmetry_space_group_name_H-M 'P n m a'
_symmetry_Int_Tables_number 62
loop_
_symmetry_equiv_pos_as_xyz
'x,y,z'
'-x,-y,-z'
'-x+1/2,-y,z+1/2'
'x+1/2,y,-z+1/2'
'x+1/2,-y+1/2,-z+1/2'
'-x+1/2,y+1/2,z+1/2'
'-x,y+1/2,-z'
'x,-y+1/2,z'
loop_
_atom_site_label
_atom_site_type_symbol
_atom_site_fract_x
_atom_site_fract_y
_atom_site_fract_z
_atom_site_occupancy
Rb1 Rb 0.166 0.250 0.009 1
Pr1 Pr 0.021 0.250 0.669 1
Fe1 Fe 0.241 0.250 0.294 1
S1 S 0.059 0.750 0.823 1
S2 S 0.111 0.250 0.440 1
S3 S 0.214 0.750 0.212 1
```

## RbPrFeS3 (PBE)

Data for a geometry-optimized RbPrFeS3 structure.

Mass density ... 3.81 g cm⁻³
Polymorph energy (0 for the lowest one) ... 0.00 kcal/mol of atoms

The structure in CIF format:
```
data_RbPrFeS3
_cell_length_a 4.110
_cell_length_b 14.708
_cell_length_c 10.924
_cell_angle_alpha 90.00
_cell_angle_beta 90.00
_cell_angle_gamma 90.00
_symmetry_space_group_name_H-M 'C m c m'
_symmetry_Int_Tables_number 63
_symmetry_space_group_name_Hall '-C 2c 2'
loop_
_atom_site_label
_atom_site_type_symbol
_atom_site_fract_x
_atom_site_fract_y
_atom_site_fract_z
_atom_site_occupancy
Rb1 Rb 0.000 0.242 0.250 1
Pr1 Pr 0.000 0.500 0.000 1
Fe1 Fe 0.000 0.031 0.750 1
S1 S 0.000 0.121 0.578 1
S2 S 0.000 0.444 0.750 1
```

## RbPrFeTe3 (PBE)

Data for a geometry-optimized RbPrFeTe3 structure.

Mass density ... 5.03 g cm⁻³
Polymorph energy (0 for the lowest one) ... 0.13 kcal/mol of atoms

The structure in CIF format:
```
data_RbPrFeTe3
_cell_length_a 11.960
_cell_length_b 4.485
_cell_length_c 16.354
_cell_angle_alpha 90.00
_cell_angle_beta 90.00
_cell_angle_gamma 90.00
_symmetry_space_group_name_H-M 'P n m a'
_symmetry_Int_Tables_number 62
loop_
_symmetry_equiv_pos_as_xyz
'x,y,z'
'-x,-y,-z'
'-x+1/2,-y,z+1/2'
'x+1/2,y,-z+1/2'
'x+1/2,-y+1/2,-z+1/2'
'-x+1/2,y+1/2,z+1/2'
'-x,y+1/2,-z'
'x,-y+1/2,z'
loop_
_atom_site_label
_atom_site_type_symbol
_atom_site_fract_x
_atom_site_fract_y
_atom_site_fract_z
_atom_site_occupancy
Rb1 Rb 0.223 0.250 0.006 1
Pr1 Pr 0.015 0.750 0.257 1
Fe1 Fe 0.236 0.750 0.782 1
Te1 Te 0.054 0.750 0.872 1
Te2 Te 0.093 0.250 0.383 1
Te3 Te 0.238 0.250 0.687 1
```

## RbPrFeTe3 (PBE)

Data for a geometry-optimized RbPrFeTe3 structure.

Mass density ... 4.85 g cm⁻³
Polymorph energy (0 for the lowest one) ... 0.00 kcal/mol of atoms

The structure in CIF format:
```
data_RbPrFeTe3
_cell_length_a 9.768
_cell_length_b 4.412
_cell_length_c 11.251
_cell_angle_alpha 90.00
_cell_angle_beta 110.12
_cell_angle_gamma 90.00
_symmetry_space_group_name_H-M 'P 1 21/m 1'
_symmetry_Int_Tables_number 11
loop_
_symmetry_equiv_pos_as_xyz
'x,y,z'
'-x,-y,-z'
'-x,y+1/2,-z'
'x,-y+1/2,z'
loop_
_atom_site_label
_atom_site_type_symbol
_atom_site_fract_x
_atom_site_fract_y
_atom_site_fract_z
_atom_site_occupancy
Rb1 Rb 0.249 0.250 0.286 1
Pr1 Pr 0.317 0.750 0.858 1
Fe1 Fe 0.064 0.250 0.578 1
Te1 Te 0.071 0.250 0.816 1
Te2 Te 0.217 0.750 0.549 1
Te3 Te 0.455 0.750 0.156 1
```

## RbPrFeTe3 (PBE)

Data for a geometry-optimized RbPrFeTe3 structure.

Mass density ... 5.21 g cm⁻³
Polymorph energy (0 for the lowest one) ... 3.97 kcal/mol of atoms

The structure in CIF format:
```
data_RbPrFeTe3
_cell_length_a 18.067
_cell_length_b 4.859
_cell_length_c 9.697
_cell_angle_alpha 90.00
_cell_angle_beta 94.43
_cell_angle_gamma 90.00
_symmetry_space_group_name_H-M 'C 1 2/m 1'
_symmetry_Int_Tables_number 12
loop_
_symmetry_equiv_pos_as_xyz
'x,y,z'
'-x,-y,-z'
'-x,y,-z'
'x,-y,z'
'x+1/2,y+1/2,z'
'-x+1/2,-y+1/2,-z'
'-x+1/2,y+1/2,-z'
'x+1/2,-y+1/2,z'
loop_
_atom_site_label
_atom_site_type_symbol
_atom_site_fract_x
_atom_site_fract_y
_atom_site_fract_z
_atom_site_occupancy
Rb1 Rb 0.142 0.000 0.089 1
Pr1 Pr 0.165 0.000 0.593 1
Fe1 Fe 0.007 0.500 0.381 1
Te1 Te 0.000 0.000 0.500 1
Te2 Te 0.000 0.500 0.000 1
Te3 Te 0.124 0.500 0.795 1
Te4 Te 0.162 0.500 0.365 1
```

## RbPrFeTe3 (PBE)

Data for a geometry-optimized RbPrFeTe3 structure.

Mass density ... 5.03 g cm⁻³
Polymorph energy (0 for the lowest one) ... 0.12 kcal/mol of atoms

The structure in CIF format:
```
data_RbPrFeTe3
_cell_length_a 4.477
_cell_length_b 16.492
_cell_length_c 11.903
_cell_angle_alpha 90.00
_cell_angle_beta 90.00
_cell_angle_gamma 90.00
_symmetry_space_group_name_H-M 'C m c m'
_symmetry_Int_Tables_number 63
_symmetry_space_group_name_Hall '-C 2c 2'
loop_
_atom_site_label
_atom_site_type_symbol
_atom_site_fract_x
_atom_site_fract_y
_atom_site_fract_z
_atom_site_occupancy
Rb1 Rb 0.000 0.245 0.250 1
Pr1 Pr 0.000 0.500 0.000 1
Fe1 Fe 0.000 0.031 0.750 1
Te1 Te 0.000 0.127 0.573 1
Te2 Te 0.000 0.435 0.750 1
```

## RbPrFeTe3 (PBE)

Data for a geometry-optimized RbPrFeTe3 structure.

Mass density ... 5.48 g cm⁻³
Polymorph energy (0 for the lowest one) ... 1.04 kcal/mol of atoms

The structure in CIF format:
```
data_RbPrFeTe3
_cell_length_a 12.481
_cell_length_b 4.675
_cell_length_c 13.808
_cell_angle_alpha 90.00
_cell_angle_beta 90.00
_cell_angle_gamma 90.00
_symmetry_space_group_name_H-M 'P n m a'
_symmetry_Int_Tables_number 62
loop_
_symmetry_equiv_pos_as_xyz
'x,y,z'
'-x,-y,-z'
'-x+1/2,-y,z+1/2'
'x+1/2,y,-z+1/2'
'x+1/2,-y+1/2,-z+1/2'
'-x+1/2,y+1/2,z+1/2'
'-x,y+1/2,-z'
'x,-y+1/2,z'
loop_
_atom_site_label
_atom_site_type_symbol
_atom_site_fract_x
_atom_site_fract_y
_atom_site_fract_z
_atom_site_occupancy
Rb1 Rb 0.176 0.250 0.002 1
Pr1 Pr 0.022 0.250 0.675 1
Fe1 Fe 0.245 0.250 0.295 1
Te1 Te 0.052 0.750 0.833 1
Te2 Te 0.106 0.250 0.440 1
Te3 Te 0.215 0.750 0.203 1
```

## RbPrFeTe3 (PBE)

Data for a geometry-optimized RbPrFeTe3 structure.

Mass density ... 5.30 g cm⁻³
Polymorph energy (0 for the lowest one) ... 1.28 kcal/mol of atoms

The structure in CIF format:
```
data_RbPrFeTe3
_cell_length_a 10.787
_cell_length_b 4.601
_cell_length_c 16.786
_cell_angle_alpha 90.00
_cell_angle_beta 90.00
_cell_angle_gamma 90.00
_symmetry_space_group_name_H-M 'P n m a'
_symmetry_Int_Tables_number 62
loop_
_symmetry_equiv_pos_as_xyz
'x,y,z'
'-x,-y,-z'
'-x+1/2,-y,z+1/2'
'x+1/2,y,-z+1/2'
'x+1/2,-y+1/2,-z+1/2'
'-x+1/2,y+1/2,z+1/2'
'-x,y+1/2,-z'
'x,-y+1/2,z'
loop_
_atom_site_label
_atom_site_type_symbol
_atom_site_fract_x
_atom_site_fract_y
_atom_site_fract_z
_atom_site_occupancy
Rb1 Rb 0.047 0.250 0.173 1
Pr1 Pr 0.166 0.750 0.440 1
Fe1 Fe 0.153 0.250 0.626 1
Te1 Te 0.028 0.750 0.612 1
Te2 Te 0.169 0.750 0.019 1
Te3 Te 0.215 0.250 0.772 1
```

## RbPrFeTe3 (PBE)

Data for a geometry-optimized RbPrFeTe3 structure.

Mass density ... 5.47 g cm⁻³
Polymorph energy (0 for the lowest one) ... 1.03 kcal/mol of atoms

The structure in CIF format:
```
data_RbPrFeTe3
_cell_length_a 12.523
_cell_length_b 4.677
_cell_length_c 13.788
_cell_angle_alpha 90.00
_cell_angle_beta 90.00
_cell_angle_gamma 90.00
_symmetry_space_group_name_H-M 'P n m a'
_symmetry_Int_Tables_number 62
loop_
_symmetry_equiv_pos_as_xyz
'x,y,z'
'-x,-y,-z'
'-x+1/2,-y,z+1/2'
'x+1/2,y,-z+1/2'
'x+1/2,-y+1/2,-z+1/2'
'-x+1/2,y+1/2,z+1/2'
'-x,y+1/2,-z'
'x,-y+1/2,z'
loop_
_atom_site_label
_atom_site_type_symbol
_atom_site_fract_x
_atom_site_fract_y
_atom_site_fract_z
_atom_site_occupancy
Rb1 Rb 0.178 0.250 0.002 1
Pr1 Pr 0.023 0.250 0.675 1
Fe1 Fe 0.246 0.250 0.295 1
Te1 Te 0.051 0.750 0.834 1
Te2 Te 0.106 0.250 0.439 1
Te3 Te 0.215 0.750 0.204 1
```

## PrFeRe (PBE)

Data for a geometry-optimized PrFeRe structure.

Energy of formation from the pure elements ... 2.7 eV per formula unit
Mass density ... 10.33 g cm⁻³

The structure in CIF format:
```
data_PrFeRe
_cell_length_a 6.268
_cell_length_b 6.268
_cell_length_c 6.268
_cell_angle_alpha 90.00
_cell_angle_beta 90.00
_cell_angle_gamma 90.00
_symmetry_space_group_name_H-M 'F -4 3 m'
_symmetry_Int_Tables_number 216
_symmetry_space_group_name_Hall 'F -4 2 3'
loop_
_atom_site_label
_atom_site_type_symbol
_atom_site_fract_x
_atom_site_fract_y
_atom_site_fract_z
_atom_site_occupancy
Pr1 Pr 0.000 0.000 0.000 1
Fe1 Fe 0.250 0.250 0.250 1
Re1 Re 0.000 0.000 0.500 1
```

## Pr4Fe3S2 (PBE)

Data for a geometry-optimized Pr4Fe3S2 structure.

DFT total energy ... -6.03 eV/atom
Mass density ... 6.03 g cm⁻³

The structure in CIF format:
```
data_Pr4Fe3S2
_cell_length_a 8.3722
_cell_length_b 8.3722
_cell_length_c 3.6045
_cell_angle_alpha 90.00
_cell_angle_beta 90.00
_cell_angle_gamma 120.00
_symmetry_space_group_name_H-M 'P -6'
_symmetry_Int_Tables_number 174
loop_
_symmetry_equiv_pos_as_xyz
'x,y,z'
'-x+y,-x,-z'
'-y,x-y,z'
'x,y,-z'
'-x+y,-x,z'
'-y,x-y,-z'
loop_
_atom_site_label
_atom_site_type_symbol
_atom_site_fract_x
_atom_site_fract_y
_atom_site_fract_z
_atom_site_occupancy
Pr1 Pr 0.0000 0.0000 0.0000 1
Pr2 Pr 0.0373 0.4488 0.0000 1
Fe1 Fe 0.4336 0.2555 0.5000 1
S1 S 0.3333 0.6667 0.5000 1
S2 S 0.6667 0.3333 0.0000 1
```

## PrFe4Sb12 (PBE)

Data for a geometry-optimized PrFe4Sb12 structure.

DFT total energy ... -5.35 eV/atom
Mass density ... 7.86 g cm⁻³

The structure in CIF format:
```
data_PrFe4Sb12
_cell_length_a 9.171
_cell_length_b 9.171
_cell_length_c 9.171
_cell_angle_alpha 90.00
_cell_angle_beta 90.00
_cell_angle_gamma 90.00
_symmetry_space_group_name_H-M 'I m -3'
_symmetry_Int_Tables_number 204
_symmetry_space_group_name_Hall '-I 2 2 3'
loop_
_atom_site_label
_atom_site_type_symbol
_atom_site_fract_x
_atom_site_fract_y
_atom_site_fract_z
_atom_site_occupancy
Pr1 Pr 0.000 0.000 0.000 1
Fe1 Fe 0.250 0.250 0.250 1
Sb1 Sb 0.000 0.163 0.335 1
```

## PrFeSb2 (PBE)

Data for a geometry-optimized PrFeSb2 structure.

DFT total energy ... -5.84 eV/atom
Mass density ... 7.68 g cm⁻³

The structure in CIF format:
```
data_PrFeSb2
_cell_length_a 4.357
_cell_length_b 4.357
_cell_length_c 10.024
_cell_angle_alpha 90.00
_cell_angle_beta 90.00
_cell_angle_gamma 90.00
_symmetry_space_group_name_H-M 'P 4/n m m'
_symmetry_Int_Tables_number 129
loop_
_symmetry_equiv_pos_as_xyz
'x,y,z'
'-x,-y,-z'
'-y+1/2,x,z'
'y+1/2,-x,-z'
'-x+1/2,-y+1/2,z'
'x+1/2,y+1/2,-z'
'y,-x+1/2,z'
'-y,x+1/2,-z'
'x+1/2,-y,-z'
'-x+1/2,y,z'
'-y,-x,-z'
'y,x,z'
'-x,y+1/2,-z'
'x,-y+1/2,z'
'y+1/2,x+1/2,-z'
'-y+1/2,-x+1/2,z'
loop_
_atom_site_label
_atom_site_type_symbol
_atom_site_fract_x
_atom_site_fract_y
_atom_site_fract_z
_atom_site_occupancy
Pr1 Pr 0.250 0.250 0.242 1
Fe1 Fe 0.250 0.750 0.000 1
Sb1 Sb 0.250 0.250 0.869 1
Sb2 Sb 0.250 0.750 0.500 1
```

## PrFe2SnSb (PBE)

Data for a geometry-optimized PrFe2SnSb structure.

DFT total energy ... -6.12 eV/atom
Mass density ... 8.00 g cm⁻³

The structure in CIF format:
```
data_PrFe2SnSb
_cell_length_a 4.321
_cell_length_b 4.321
_cell_length_c 10.965
_cell_angle_alpha 90.00
_cell_angle_beta 90.00
_cell_angle_gamma 90.00
_symmetry_space_group_name_H-M 'P 4/n m m'
_symmetry_Int_Tables_number 129
loop_
_symmetry_equiv_pos_as_xyz
'x,y,z'
'-x,-y,-z'
'-y+1/2,x,z'
'y+1/2,-x,-z'
'-x+1/2,-y+1/2,z'
'x+1/2,y+1/2,-z'
'y,-x+1/2,z'
'-y,x+1/2,-z'
'x+1/2,-y,-z'
'-x+1/2,y,z'
'-y,-x,-z'
'y,x,z'
'-x,y+1/2,-z'
'x,-y+1/2,z'
'y+1/2,x+1/2,-z'
'-y+1/2,-x+1/2,z'
loop_
_atom_site_label
_atom_site_type_symbol
_atom_site_fract_x
_atom_site_fract_y
_atom_site_fract_z
_atom_site_occupancy
Pr1 Pr 0.250 0.250 0.243 1
Fe1 Fe 0.250 0.250 0.866 1
Fe2 Fe 0.250 0.750 0.500 1
Sn1 Sn 0.250 0.750 0.000 1
Sb1 Sb 0.250 0.250 0.638 1
```